{
  "formula": "LiRh",
  "functional": "PBEsol",
  "state": "relaxed",
  "e_tot_ha_per_atom": -0.18950,
  "dos_ef_per_ev_cell": 1.9,
  "magmom_total_mub_per_atom": 0.00,
  "e_form_mev_per_atom": -104,
  "lattice": [[1.332, -2.234, 0.000], [1.332, 2.234, 0.000], [0.000, 0.000, 4.357]],
  "species": ["Li", "Rh"],
  "frac_coords": [[0.000, 0.000, 0.000], [0.500, 0.500, 0.500]]
}